Entry w
## GaSbRu3 (PBE-GGA)

Data for GaSbRu3 after structural relaxation.

a = 4.8061 Å, b = 4.8061 Å, c = 4.8061 Å
α = 90.00°, β = 90.00°, γ = 90.00°
Sites, in units of the cell vectors:
1 Ga 0.0000 0.0000 0.0000
2 Sb 0.5000 0.5000 0.5000
3 Ru 0.0000 0.5000 0.5000
4 Ru 0.5000 0.0000 0.5000
5 Ru 0.5000 0.5000 0.0000

Computed properties:
SG: Pm-3m (221)
Magnetization, μB/f.u.: 2.01
Calculated volume, Å³ per atom: 22.2

Entry x
## GaSbRu3 (PBE-GGA)

Data for GaSbRu3 after structural relaxation.

a = 4.5281 Å, b = 4.5281 Å, c = 4.5281 Å
α = 90.00°, β = 90.00°, γ = 90.00°
Sites, in units of the cell vectors:
1 Ga 0.0000 0.0000 0.0000
2 Sb 0.5000 0.5000 0.5000
3 Ru 0.0000 0.0000 0.5000
4 Ru 0.0000 0.5000 0.0000
5 Ru 0.5000 0.0000 0.0000

Computed properties:
SG: Pm-3m (221)
Magnetization, μB/f.u.: 0.00
Calculated volume, Å³ per atom: 18.6

In terms of stability, entry x leads; the second structure lies 48.7 kJ/mol of atoms higher.

Entry w
## GaSbTe2Ru (PBE-GGA)

Data for GaSbTe2Ru after structural relaxation.

a = 5.3271 Å, b = 5.3271 Å, c = 5.1380 Å
α = 90.00°, β = 90.00°, γ = 90.00°
Sites, in units of the cell vectors:
1 Ga 0.0000 0.0000 0.0000
2 Sb 0.0000 0.0000 0.5000
3 Te 0.0000 0.5000 0.0000
4 Te 0.5000 0.0000 0.0000
5 Ru 0.5000 0.5000 0.5000

Computed properties:
SG: P4/mmm (123)
Magnetization, μB/f.u.: 2.05
Calculated volume, Å³ per atom: 29.2

Entry x
## GaSbTe2Ru (PBE-GGA)

Data for GaSbTe2Ru after structural relaxation.

a = 5.3131 Å, b = 5.3131 Å, c = 4.6562 Å
α = 90.00°, β = 90.00°, γ = 90.00°
Sites, in units of the cell vectors:
1 Ga 0.0000 0.0000 0.0000
2 Sb 0.5000 0.5000 0.5000
3 Te 0.0000 0.5000 0.0000
4 Te 0.5000 0.0000 0.0000
5 Ru 0.0000 0.0000 0.5000

Computed properties:
SG: P4/mmm (123)
Magnetization, μB/f.u.: 0.00
Calculated volume, Å³ per atom: 26.3

Entry y
## GaSbTe2Ru (PBE-GGA)

Data for GaSbTe2Ru after structural relaxation.

a = 5.4223 Å, b = 5.4223 Å, c = 4.9719 Å
α = 90.00°, β = 90.00°, γ = 90.00°
Sites, in units of the cell vectors:
1 Ga 0.0000 0.0000 0.0000
2 Sb 0.5000 0.5000 0.0000
3 Te 0.0000 0.5000 0.5000
4 Te 0.5000 0.0000 0.5000
5 Ru 0.5000 0.5000 0.5000

Computed properties:
SG: P4/mmm (123)
Magnetization, μB/f.u.: 0.00
Calculated volume, Å³ per atom: 29.2

In terms of stability, entry y leads; the second structure lies 44.3 kJ/mol of atoms higher.